The following is a DFT calculation (PBE-GGA) of a geometry-optimized TlN2F structure.

```
TlN2F
1.0
2.8324 -2.8139 0.4735
2.7533 0.3878 2.9040
-0.0974 -2.4318 3.2002
N F Tl
2 1 1
direct
0.7500 0.7500 0.7500
0.2500 0.2500 0.2500
0.0000 0.0000 0.0000
0.5000 0.5000 0.5000
```

Values from the calculation:
V, Å³/atom: 11.5
ΔE to the lowest computed polymorph, meV per atom: 2581.9
ΔE_f (raw), meV/atom: 1764.2
Magnetization, μB/f.u.: 0.0